1.
Cs3I2O7: optimized geometry, GGA-PBE.

Its space-group type is No. 65. The value obtained for the total energy is -4.145 eV per atom. The value obtained for the uncorrected formation energy is -781 meV/atom.

Cell lengths 4.2669, 4.2728, 13.3050 Å; angles 99.24, 90.00, 90.00 degrees
Closest atoms and distances in Å follow each position.
Fractional coordinates of all 12 atoms:
Cs: 0.5000 0.5000 0.0000  12 O 3.02-3.16
Cs: 0.5000 0.6758 0.3516  8 O 3.06-3.14
Cs: 0.5000 0.3242 0.6484  8 O 3.06-3.14
I: 0.0000 0.9154 0.8308  1 O 1.87
I: 0.0000 0.0846 0.1693  1 O 1.87
O: 0.0000 0.4116 0.8231  2 I 2.14
O: 0.0000 0.8441 0.6883  1 I 1.87
O: 0.0000 0.0000 0.0000  2 I 2.22
O: 0.0000 0.5884 0.1769  2 I 2.14
O: 0.5000 0.0884 0.1768  2 I 2.14
O: 0.5000 0.9116 0.8232  2 I 2.14
O: 0.0000 0.1559 0.3117  1 I 1.87

=====

2.
SmMgP2O8: optimized geometry, GGA-PBE.

Its space-group type is No. 164. The value obtained for the total energy is -7.263 eV per atom. The value obtained for the uncorrected formation energy is -2530 meV/atom.

Cell lengths 5.1469, 5.1469, 6.7595 Å; angles 90.00, 90.00, 120.00 degrees
Closest atoms and distances in Å follow each position.
Fractional coordinates of all 12 atoms:
Sm: 0.0000 0.0000 0.5000  6 O 2.49
Mg: 0.0000 0.0000 0.0000  6 O 2.06
P: 0.6667 0.3333 0.2787  4 O 1.54-1.55
P: 0.3333 0.6667 0.7213  4 O 1.54-1.55
O: 0.8308 0.1692 0.2068  1 P 1.54
O: 0.8308 0.6617 0.2068  1 P 1.54
O: 0.3383 0.1692 0.2068  1 P 1.54
O: 0.6617 0.8308 0.7932  1 P 1.54
O: 0.3333 0.6667 0.4923  1 P 1.55
O: 0.6667 0.3333 0.5077  1 P 1.55
O: 0.1692 0.8308 0.7932  1 P 1.54
O: 0.1692 0.3383 0.7932  1 P 1.54